(1)
First-principles (PBE-GGA) data for a geometry-optimized KRbGa structure, as listed in the Alexandria database.

Properties
space-group type: P1, No. 1
ΔH_f (0 K): -56 meV/atom
V: 53.69 Å³/atom

a b c (Å): 4.6217 4.6230 17.6073
angles (deg): 82.52 82.48 60.02
Positions (direct):
1 K 0.0000 0.0000 0.0000
2 K 0.0899 0.0913 0.7279
3 Rb 0.2542 0.2493 0.2427
4 Rb 0.8361 0.8384 0.4854
5 Ga 0.3782 0.3791 0.8638
6 Ga 0.7117 0.7125 0.8638

(2)
First-principles (PBE-GGA) data for a geometry-optimized K2RbGa structure, as listed in the Alexandria database.

Properties
space-group type: R-3m, No. 166
ΔH_f (0 K): 351 meV/atom
V: 60.24 Å³/atom

a b c (Å): 15.4269 15.4269 15.4269
angles (deg): 15.93 15.93 15.93
Positions (direct):
1 K 0.0743 0.0743 0.0743
2 K 0.9257 0.9257 0.9257
3 Rb 0.5000 0.5000 0.5000
4 Ga 0.0000 0.0000 0.0000

(3)
First-principles (PBE-GGA) data for a geometry-optimized KRbGa2Rh structure, as listed in the Alexandria database.

Properties
space-group type: P4/mmm, No. 123
ΔH_f (0 K): 1418 meV/atom
V: 37.66 Å³/atom

a b c (Å): 5.6492 5.6492 5.9006
angles (deg): 90.00 90.00 90.00
Positions (direct):
1 K 0.0000 0.0000 0.0000
2 Rb 0.0000 0.0000 0.5000
3 Ga 0.0000 0.5000 0.0000
4 Ga 0.5000 0.0000 0.0000
5 Rh 0.5000 0.5000 0.5000

(4)
First-principles (PBE-GGA) data for a geometry-optimized KRbGa2Ru structure, as listed in the Alexandria database.

Properties
space-group type: P4/mmm, No. 123
ΔH_f (0 K): 1503 meV/atom
V: 36.94 Å³/atom

a b c (Å): 5.9726 5.9726 5.1775
angles (deg): 90.00 90.00 90.00
Positions (direct):
1 K 0.0000 0.0000 0.0000
2 Rb 0.5000 0.5000 0.5000
3 Ga 0.0000 0.5000 0.5000
4 Ga 0.5000 0.0000 0.5000
5 Ru 0.5000 0.5000 0.0000

(5)
First-principles (PBE-GGA) data for a geometry-optimized K2Rb4GaSb2 structure, as listed in the Alexandria database.

Properties
formation energy (no corrections): -174 meV per atom
space-group type: C2/m, No. 12
V: 51.09 Å³/atom

a b c (Å): 9.3152 9.3152 5.7599
angles (deg): 101.50 101.50 71.65
Positions (direct):
1 K 0.1391 0.1391 0.1919
2 K 0.8609 0.8609 0.8081
3 Rb 0.1527 0.5783 0.3228
4 Rb 0.4217 0.8473 0.6772
5 Rb 0.5783 0.1527 0.3228
6 Rb 0.8473 0.4217 0.6772
7 Ga 0.5000 0.5000 0.0000
8 Sb 0.3137 0.3137 0.7985
9 Sb 0.6863 0.6863 0.2015

(6)
First-principles (PBE-GGA) data for a geometry-optimized K2RbGa2Sb2 structure, as listed in the Alexandria database.

Properties
formation energy (no corrections): -353 meV per atom
space-group type: C2/m, No. 12
V: 41.91 Å³/atom

a b c (Å): 6.9242 6.9242 10.1633
angles (deg): 96.54 96.54 37.33
Positions (direct):
1 K 0.1791 0.1791 0.1487
2 K 0.8209 0.8209 0.8513
3 Rb 0.5000 0.5000 0.5000
4 Ga 0.4660 0.4660 0.1080
5 Ga 0.5340 0.5340 0.8920
6 Sb 0.1019 0.1019 0.7798
7 Sb 0.8981 0.8981 0.2202

(7)
First-principles (PBE-GGA) data for a geometry-optimized K4Rb2GaSn2 structure, as listed in the Alexandria database.

Properties
space-group type: C2/m, No. 12
ΔH_f (0 K): -104 meV/atom
V: 45.42 Å³/atom

a b c (Å): 8.6883 8.6883 6.4493
angles (deg): 102.16 102.16 59.97
Positions (direct):
1 K 0.0966 0.6491 0.7988
2 K 0.3509 0.9034 0.2012
3 K 0.6491 0.0966 0.7988
4 K 0.9034 0.3509 0.2012
5 Rb 0.3574 0.3574 0.2834
6 Rb 0.6426 0.6426 0.7166
7 Ga 0.0000 0.0000 0.5000
8 Sn 0.1691 0.1691 0.7263
9 Sn 0.8309 0.8309 0.2737

(8)
First-principles (PBE-GGA) data for a geometry-optimized K2RbTiGa structure, as listed in the Alexandria database.

Properties
space-group type: P4/mmm, No. 123
ΔH_f (0 K): 488 meV/atom
V: 47.59 Å³/atom

a b c (Å): 6.7297 6.7297 5.2542
angles (deg): 90.00 90.00 90.00
Positions (direct):
1 K 0.0000 0.5000 0.0000
2 K 0.5000 0.0000 0.0000
3 Rb 0.0000 0.0000 0.5000
4 Ti 0.5000 0.5000 0.5000
5 Ga 0.5000 0.5000 0.0000

(9)
First-principles (PBE-GGA) data for a geometry-optimized K2RbTiGa structure, as listed in the Alexandria database.

Properties
space-group type: P4/mmm, No. 123
ΔH_f (0 K): 1288 meV/atom
V: 55.71 Å³/atom

a b c (Å): 6.7707 6.7707 6.0758
angles (deg): 90.00 90.00 90.00
Positions (direct):
1 K 0.0000 0.5000 0.0000
2 K 0.5000 0.0000 0.0000
3 Rb 0.0000 0.0000 0.0000
4 Ti 0.0000 0.0000 0.5000
5 Ga 0.5000 0.5000 0.5000

(10)
First-principles (PBE-GGA) data for a geometry-optimized KRbTlGa structure, as listed in the Alexandria database.

Properties
space-group type: F-43m, No. 216
ΔH_f (0 K): 56 meV/atom
V: 33.76 Å³/atom

a b c (Å): 5.7589 5.7589 5.7589
angles (deg): 60.00 60.00 60.00
Positions (direct):
1 K 0.0000 0.0000 0.0000
2 Rb 0.7500 0.7500 0.7500
3 Tl 0.2500 0.2500 0.2500
4 Ga 0.5000 0.5000 0.5000

(11)
First-principles (PBE-GGA) data for a geometry-optimized KRb2TlGa structure, as listed in the Alexandria database.

Properties
space-group type: P4/mmm, No. 123
ΔH_f (0 K): 96 meV/atom
V: 56.29 Å³/atom

a b c (Å): 7.0106 7.0106 5.7260
angles (deg): 90.00 90.00 90.00
Positions (direct):
1 K 0.0000 0.0000 0.0000
2 Rb 0.0000 0.5000 0.5000
3 Rb 0.5000 0.0000 0.5000
4 Tl 0.5000 0.5000 0.0000
5 Ga 0.5000 0.5000 0.5000

(12)
First-principles (PBE-GGA) data for a geometry-optimized KRbTl2Ga structure, as listed in the Alexandria database.

Properties
space-group type: P4/mmm, No. 123
ΔH_f (0 K): 65 meV/atom
V: 42.99 Å³/atom

a b c (Å): 5.8381 5.8381 6.3061
angles (deg): 90.00 90.00 90.00
Positions (direct):
1 K 0.0000 0.0000 0.0000
2 Rb 0.5000 0.5000 0.0000
3 Tl 0.0000 0.5000 0.5000
4 Tl 0.5000 0.0000 0.5000
5 Ga 0.0000 0.0000 0.5000

Q: What is the V in the eleventh record?
A: 56.29 Å³/atom